Compound: AcPrCl6
Source: Alexandria via LeMat-Bulk
Functional: PBE
Structure: optimized geometry

Properties
Total moment: 0.000 μB per cell
Formation energy without anion corrections: -2.311 eV per atom
Fermi-level density of states: 0.00 states/eV per cell
Crystal system: trigonal

a = 7.078 Å, b = 7.079 Å, c = 7.767 Å
α = 62.90°, β = 62.91°, γ = 60.03°
Element x y z (fractional)
Ac 0.500 0.500 0.500
Pr 0.000 0.000 0.000
Cl 0.092 0.396 0.756
Cl 0.756 0.092 0.756
Cl 0.604 0.243 0.244
Cl 0.244 0.908 0.244
Cl 0.908 0.604 0.244
Cl 0.396 0.757 0.756

***

Compound: AcPrCl4
Source: Alexandria via LeMat-Bulk
Functional: PBE
Structure: optimized geometry

Properties
Total moment: 0.000 μB per cell
Formation energy without anion corrections: -1.929 eV per atom
Fermi-level density of states: 7.17 states/eV per cell
Crystal system: monoclinic

a = 7.095 Å, b = 7.182 Å, c = 9.144 Å
α = 105.31°, β = 104.93°, γ = 109.37°
Element x y z (fractional)
Ac 0.323 0.573 0.146
Ac 0.677 0.427 0.854
Pr 0.807 0.057 0.113
Pr 0.193 0.943 0.887
Cl 0.306 0.046 0.634
Cl 0.061 0.818 0.141
Cl 0.172 0.412 0.366
Cl 0.421 0.678 0.859
Cl 0.694 0.954 0.366
Cl 0.828 0.588 0.634
Cl 0.939 0.182 0.859
Cl 0.579 0.322 0.141

***

Compound: Ac3PrCl
Source: Alexandria via LeMat-Bulk
Functional: PBE
Structure: optimized geometry

Properties
Total moment: 0.000 μB per cell
Formation energy without anion corrections: -0.498 eV per atom
Fermi-level density of states: 6.00 states/eV per cell
Crystal system: cubic

a = 5.852 Å, b = 5.852 Å, c = 5.852 Å
α = 90.00°, β = 90.00°, γ = 90.00°
Element x y z (fractional)
Pr 0.500 0.500 0.500
Ac 0.000 0.500 0.000
Ac 0.000 0.000 0.500
Ac 0.500 0.000 0.000
Cl 0.000 0.000 0.000

***

Compound: AcPrRhCl
Source: Alexandria via LeMat-Bulk
Functional: PBE
Structure: optimized geometry

Properties
Total moment: 0.000 μB per cell
Formation energy without anion corrections: -1.193 eV per atom
Fermi-level density of states: 0.30 states/eV per cell
Crystal system: trigonal

a = 4.201 Å, b = 4.201 Å, c = 8.319 Å
α = 90.02°, β = 104.61°, γ = 120.00°
Element x y z (fractional)
Ac 0.507 0.151 0.673
Pr 0.107 0.951 0.074
Rh 0.310 0.553 0.879
Cl 0.954 0.375 0.344

***

Compound: AcPrTeCl
Source: Alexandria via LeMat-Bulk
Functional: PBE
Structure: optimized geometry

Properties
Total moment: 0.000 μB per cell
Formation energy without anion corrections: -1.306 eV per atom
Fermi-level density of states: 3.79 states/eV per cell
Crystal system: cubic

a = 5.483 Å, b = 5.483 Å, c = 5.483 Å
α = 60.00°, β = 60.00°, γ = 60.00°
Element x y z (fractional)
Pr 0.000 0.000 0.000
Ac 0.500 0.500 0.500
Te 0.750 0.750 0.750
Cl 0.250 0.250 0.250

***

Compound: AcPrTe2Cl
Source: Alexandria via LeMat-Bulk
Functional: PBE
Structure: optimized geometry

Properties
Total moment: 0.000 μB per cell
Formation energy without anion corrections: -1.652 eV per atom
Fermi-level density of states: 3.61 states/eV per cell
Crystal system: tetragonal

a = 4.572 Å, b = 4.572 Å, c = 15.387 Å
α = 90.00°, β = 90.00°, γ = 90.00°
Element x y z (fractional)
Ac 0.500 0.000 0.092
Ac 0.000 0.500 0.908
Pr 0.500 0.000 0.630
Pr 0.000 0.500 0.370
Te 0.000 0.500 0.691
Te 0.000 0.500 0.134
Te 0.500 0.000 0.866
Te 0.500 0.000 0.309
Cl 0.000 0.000 0.500
Cl 0.500 0.500 0.500

***

Compound: Ac2PtCl
Source: Alexandria via LeMat-Bulk
Functional: PBE
Structure: optimized geometry

Properties
Total moment: 0.000 μB per cell
Formation energy without anion corrections: -1.414 eV per atom
Fermi-level density of states: 2.83 states/eV per cell
Excess energy over the best structure of this formula in the dataset: 0 meV/atom
Crystal system: trigonal

a = 4.410 Å, b = 4.410 Å, c = 8.496 Å
α = 74.96°, β = 74.96°, γ = 60.00°
Element x y z (fractional)
Ac 0.068 0.068 0.796
Ac 0.268 0.268 0.197
Pt 0.668 0.668 0.997
Cl 0.496 0.496 0.511

***

Compound: Ac2PtCl
Source: Alexandria via LeMat-Bulk
Functional: PBE
Structure: optimized geometry

Properties
Total moment: 0.000 μB per cell
Formation energy without anion corrections: -1.410 eV per atom
Fermi-level density of states: 3.14 states/eV per cell
Excess energy over the best structure of this formula in the dataset: 4 meV/atom
Crystal system: trigonal

a = 4.369 Å, b = 4.369 Å, c = 8.004 Å
α = 90.00°, β = 90.00°, γ = 60.00°
Element x y z (fractional)
Ac 0.667 0.667 0.209
Ac 0.333 0.333 0.791
Pt 0.000 0.000 0.000
Cl 0.000 0.000 0.500

***

Compound: Ac6Pt5Cl
Source: Alexandria via LeMat-Bulk
Functional: PBE
Structure: optimized geometry

Properties
Total moment: 0.000 μB per cell
Formation energy without anion corrections: -1.291 eV per atom
Fermi-level density of states: 5.90 states/eV per cell
Crystal system: monoclinic

a = 7.660 Å, b = 7.660 Å, c = 7.655 Å
α = 99.48°, β = 99.48°, γ = 119.91°
Element x y z (fractional)
Ac 0.438 0.087 0.260
Ac 0.913 0.562 0.740
Ac 0.265 0.265 0.744
Ac 0.735 0.735 0.256
Ac 0.087 0.438 0.260
Ac 0.562 0.913 0.740
Pt 0.840 0.160 0.500
Pt 0.667 0.333 0.000
Pt 0.500 0.500 0.500
Pt 0.333 0.667 0.000
Pt 0.160 0.840 0.500
Cl 0.000 0.000 0.000

***

Compound: Ac4Pt2Cl
Source: Alexandria via LeMat-Bulk
Functional: PBE
Structure: optimized geometry

Properties
Total moment: 0.000 μB per cell
Formation energy without anion corrections: -0.794 eV per atom
Fermi-level density of states: 6.41 states/eV per cell
Excess energy over the best structure of this formula in the dataset: 357 meV/atom
Crystal system: tetragonal

a = 5.756 Å, b = 5.756 Å, c = 8.481 Å
α = 109.84°, β = 109.84°, γ = 90.00°
Element x y z (fractional)
Ac 0.788 0.788 0.575
Ac 0.212 0.212 0.425
Ac 0.000 0.500 0.000
Ac 0.500 0.000 0.000
Pt 0.598 0.598 0.195
Pt 0.402 0.402 0.805
Cl 0.000 0.000 0.000

***

Compound: AcPtCl
Source: Alexandria via LeMat-Bulk
Functional: PBE
Structure: optimized geometry

Properties
Total moment: 0.000 μB per cell
Formation energy without anion corrections: -1.658 eV per atom
Crystal system: trigonal

a = 4.513 Å, b = 4.513 Å, c = 10.731 Å
α = 77.86°, β = 77.86°, γ = 60.00°
Element x y z (fractional)
Ac 0.435 0.435 0.696
Ac 0.565 0.565 0.304
Pt 0.154 0.154 0.538
Pt 0.846 0.846 0.462
Cl 0.714 0.714 0.858
Cl 0.286 0.286 0.142

***

Compound: Ac4Pt3Cl
Source: Alexandria via LeMat-Bulk
Functional: PBE
Structure: optimized geometry

Properties
Total moment: 0.000 μB per cell
Formation energy without anion corrections: -1.316 eV per atom
Fermi-level density of states: 4.55 states/eV per cell
Crystal system: orthorhombic

a = 4.415 Å, b = 7.709 Å, c = 7.709 Å
α = 71.33°, β = 90.00°, γ = 90.00°
Element x y z (fractional)
Ac 0.000 0.770 0.731
Ac 0.500 0.760 0.260
Ac 0.000 0.231 0.269
Ac 0.500 0.240 0.740
Pt 0.500 0.000 0.500
Pt 0.000 0.000 0.000
Pt 0.000 0.500 0.500
Cl 0.500 0.500 0.000

***

Compound: Ac2PtCl
Source: Alexandria via LeMat-Bulk
Functional: PBE
Structure: optimized geometry

Properties
Total moment: 0.000 μB per cell
Formation energy without anion corrections: -1.175 eV per atom
Fermi-level density of states: 3.35 states/eV per cell
Excess energy over the best structure of this formula in the dataset: 239 meV/atom
Crystal system: tetragonal

a = 3.723 Å, b = 3.723 Å, c = 8.461 Å
α = 90.00°, β = 90.00°, γ = 90.00°
Element x y z (fractional)
Ac 0.000 0.000 0.784
Ac 0.000 0.000 0.216
Pt 0.500 0.500 0.000
Cl 0.500 0.500 0.500

***

Compound: Ac4Pt2Cl
Source: Alexandria via LeMat-Bulk
Functional: PBE
Structure: optimized geometry

Properties
Total moment: 0.000 μB per cell
Formation energy without anion corrections: -1.151 eV per atom
Fermi-level density of states: 5.21 states/eV per cell
Excess energy over the best structure of this formula in the dataset: 0 meV/atom
Crystal system: trigonal

a = 4.432 Å, b = 4.432 Å, c = 15.341 Å
α = 81.69°, β = 81.69°, γ = 60.00°
Element x y z (fractional)
Ac 0.124 0.124 0.629
Ac 0.281 0.281 0.156
Ac 0.719 0.719 0.844
Ac 0.876 0.876 0.371
Pt 0.421 0.421 0.737
Pt 0.579 0.579 0.263
Cl 0.000 0.000 0.000

***

Compound: Ac8Pt4Cl
Source: Alexandria via LeMat-Bulk
Functional: PBE
Structure: optimized geometry

Properties
Total moment: 0.000 μB per cell
Formation energy without anion corrections: -0.939 eV per atom
Fermi-level density of states: 9.83 states/eV per cell
Crystal system: monoclinic

a = 4.415 Å, b = 11.459 Å, c = 11.172 Å
α = 79.91°, β = 78.60°, γ = 78.89°
Element x y z (fractional)
Ac 0.128 0.407 0.338
Ac 0.539 0.261 0.660
Ac 0.464 0.718 0.354
Ac 0.882 0.567 0.669
Ac 0.826 0.342 0.006
Ac 0.218 0.906 0.658
Ac 0.171 0.651 0.007
Ac 0.782 0.068 0.368
Pt 0.353 0.453 0.842
Pt 0.841 0.814 0.504
Pt 0.162 0.161 0.515
Pt 0.647 0.534 0.172
Cl 0.633 0.851 0.883

***

Compound: Ac5Pt4Cl
Source: Alexandria via LeMat-Bulk
Functional: PBE
Structure: optimized geometry

Properties
Total moment: 0.000 μB per cell
Formation energy without anion corrections: -1.301 eV per atom
Fermi-level density of states: 4.12 states/eV per cell
Crystal system: monoclinic

a = 4.404 Å, b = 7.747 Å, c = 9.886 Å
α = 75.50°, β = 77.13°, γ = 73.49°
Element x y z (fractional)
Ac 0.205 0.905 0.685
Ac 0.795 0.095 0.315
Ac 0.386 0.337 0.890
Ac 0.000 0.500 0.500
Ac 0.614 0.663 0.110
Pt 0.595 0.202 0.607
Pt 0.208 0.384 0.201
Pt 0.792 0.616 0.799
Pt 0.405 0.798 0.393
Cl 0.000 0.000 0.000

***

Compound: Ac2PtCl
Source: Alexandria via LeMat-Bulk
Functional: PBE
Structure: optimized geometry

Properties
Total moment: 0.000 μB per cell
Formation energy without anion corrections: -1.389 eV per atom
Fermi-level density of states: 2.50 states/eV per cell
Excess energy over the best structure of this formula in the dataset: 25 meV/atom
Crystal system: trigonal

a = 4.543 Å, b = 4.543 Å, c = 9.397 Å
α = 76.01°, β = 76.01°, γ = 60.00°
Element x y z (fractional)
Ac 0.108 0.108 0.675
Ac 0.892 0.892 0.325
Pt 0.500 0.500 0.500
Cl 0.000 0.000 0.000

***

Compound: Ac4Pt2RhCl
Source: Alexandria via LeMat-Bulk
Functional: PBE
Structure: optimized geometry

Properties
Total moment: 0.000 μB per cell
Formation energy without anion corrections: -1.192 eV per atom
Fermi-level density of states: 3.13 states/eV per cell
Crystal system: tetragonal

a = 6.205 Å, b = 6.205 Å, c = 7.666 Å
α = 113.87°, β = 113.87°, γ = 90.00°
Element x y z (fractional)
Ac 0.937 0.437 0.000
Ac 0.437 0.937 0.000
Ac 0.206 0.206 0.539
Ac 0.668 0.668 0.461
Pt 0.187 0.687 0.500
Pt 0.687 0.187 0.500
Rh 0.437 0.437 0.000
Cl 0.937 0.937 0.000

***

Compound: Ac4PtRhCl2
Source: Alexandria via LeMat-Bulk
Functional: PBE
Structure: optimized geometry

Properties
Total moment: 0.000 μB per cell
Formation energy without anion corrections: -1.350 eV per atom
Fermi-level density of states: 3.74 states/eV per cell
Crystal system: monoclinic

a = 4.363 Å, b = 7.614 Å, c = 8.383 Å
α = 108.11°, β = 90.00°, γ = 90.00°
Element x y z (fractional)
Ac 0.500 0.232 0.202
Ac 0.500 0.768 0.798
Ac 0.000 0.260 0.797
Ac 0.000 0.740 0.203
Pt 0.500 0.500 0.000
Rh 0.000 0.000 0.000
Cl 0.500 0.000 0.500
Cl 0.000 0.500 0.500

***

Compound: Ac8PtRh3Cl3
Source: Alexandria via LeMat-Bulk
Functional: PBE
Structure: optimized geometry

Properties
Total moment: 0.001 μB per cell
Formation energy without anion corrections: -1.157 eV per atom
Fermi-level density of states: 6.75 states/eV per cell
Crystal system: monoclinic

a = 8.735 Å, b = 8.731 Å, c = 9.235 Å
α = 118.17°, β = 90.00°, γ = 120.02°
Element x y z (fractional)
Ac 0.264 0.527 0.291
Ac 0.736 0.473 0.709
Ac 0.760 0.520 0.291
Ac 0.240 0.480 0.709
Ac 0.760 0.030 0.291
Ac 0.240 0.970 0.709
Ac 0.270 0.030 0.291
Ac 0.730 0.970 0.709
Pt 0.000 0.000 0.500
Rh 0.500 0.000 0.500
Rh 0.500 0.500 0.500
Rh 0.000 0.500 0.500
Cl 0.000 0.000 0.000
Cl 0.000 0.500 0.000
Cl 0.500 0.500 0.000

***

Compound: Ac3PtRhCl
Source: Alexandria via LeMat-Bulk
Functional: PBE
Structure: optimized geometry

Properties
Total moment: 0.000 μB per cell
Formation energy without anion corrections: -1.049 eV per atom
Fermi-level density of states: 7.57 states/eV per cell
Crystal system: monoclinic

a = 4.104 Å, b = 8.313 Å, c = 11.671 Å
α = 110.76°, β = 90.00°, γ = 90.00°
Element x y z (fractional)
Ac 0.250 0.760 0.572
Ac 0.750 0.875 0.097
Ac 0.750 0.471 0.198
Ac 0.750 0.240 0.428
Ac 0.250 0.529 0.802
Ac 0.250 0.125 0.903
Pt 0.750 0.811 0.783
Pt 0.250 0.189 0.217
Rh 0.250 0.605 0.070
Rh 0.750 0.395 0.930
Cl 0.250 0.152 0.605
Cl 0.750 0.848 0.395

***

Compound: Ac6PtRh2Cl3
Source: Alexandria via LeMat-Bulk
Functional: PBE
Structure: optimized geometry

Properties
Total moment: 0.000 μB per cell
Formation energy without anion corrections: -1.320 eV per atom
Fermi-level density of states: 5.14 states/eV per cell
Crystal system: monoclinic

a = 7.544 Å, b = 7.544 Å, c = 8.368 Å
α = 98.58°, β = 98.58°, γ = 120.03°
Element x y z (fractional)
Ac 0.932 0.593 0.797
Ac 0.728 0.728 0.203
Ac 0.068 0.407 0.203
Ac 0.593 0.932 0.797
Ac 0.272 0.272 0.797
Ac 0.407 0.068 0.203
Pt 0.000 0.000 0.000
Rh 0.334 0.666 0.000
Rh 0.666 0.334 0.000
Cl 0.171 0.829 0.500
Cl 0.829 0.171 0.500
Cl 0.500 0.500 0.500

***

Compound: Ac4PtRh2Cl
Source: Alexandria via LeMat-Bulk
Functional: PBE
Structure: optimized geometry

Properties
Total moment: 0.000 μB per cell
Formation energy without anion corrections: -1.045 eV per atom
Fermi-level density of states: 3.01 states/eV per cell
Crystal system: orthorhombic

a = 6.185 Å, b = 6.185 Å, c = 7.559 Å
α = 114.15°, β = 114.15°, γ = 89.99°
Element x y z (fractional)
Ac 0.938 0.437 0.000
Ac 0.437 0.938 0.000
Ac 0.197 0.197 0.520
Ac 0.677 0.677 0.480
Pt 0.437 0.437 0.000
Rh 0.187 0.687 0.500
Rh 0.687 0.187 0.500
Cl 0.938 0.938 0.000

***

Compound: Ac4RuPtCl2
Source: Alexandria via LeMat-Bulk
Functional: PBE
Structure: optimized geometry

Properties
Total moment: 0.000 μB per cell
Formation energy without anion corrections: -1.222 eV per atom
Fermi-level density of states: 2.39 states/eV per cell
Crystal system: monoclinic

a = 4.346 Å, b = 7.530 Å, c = 8.362 Å
α = 107.33°, β = 90.00°, γ = 90.00°
Element x y z (fractional)
Ac 0.500 0.243 0.202
Ac 0.500 0.757 0.798
Ac 0.000 0.274 0.795
Ac 0.000 0.726 0.205
Ru 0.500 0.500 0.000
Pt 0.000 0.000 0.000
Cl 0.500 0.000 0.500
Cl 0.000 0.500 0.500